! Cu6Si2Au, relaxed, DFT PBE; values from VASP
! total magnetization = 0.000 μB per atom
! E_form (uncorrected) = -7 meV per atom
! calculated total energy = -38.8 eV/cell
! ρ = 8.71 g/cm3
&SYSTEM
  ibrav = 0, nat = 9, ntyp = 3
/
ATOMIC_SPECIES
Cu 63.55 Cu.upf
Si 28.09 Si.upf
Au 196.97 Au.upf
ATOMIC_POSITIONS crystal
Cu 0.5327 0.5327 0.6659
Cu 0.1490 0.1490 0.4322
Cu 0.2869 0.2869 0.0899
Cu 0.8510 0.8510 0.5678
Cu 0.4673 0.4673 0.3341
Cu 0.7131 0.7131 0.9101
Si 0.2307 0.2307 0.7257
Si 0.7693 0.7693 0.2743
Au 0.0000 0.0000 0.0000
CELL_PARAMETERS angstrom
1.4849 -4.3309 0.6413
2.3147 -2.7866 -2.8723
7.0087 1.3724 2.2586